Entry 1:
This record from the Alexandria database describes a relaxed LiIr2Ru crystal. The functional is GGA-PBEsol.

The calculation puts the energy above the most stable polymorph in this dataset at 0.022 eV per atom. The total moment comes out at 0.0000 μB per atom. The formation energy from the elements is 53 meV per atom.

It has space group Cmmm (No. 65), with a = 5.3336 Å, b = 7.5735 Å, c = 2.6363 Å, α = 90.00°, β = 90.00° and γ = 90.00°. The distinct sites, in fractional coordinates, are Li at (0.0000, 0.0000, 0.0000), Ir at (0.2500, 0.2500, 0.5000) and Ru at (0.0000, 0.5000, 0.0000).

=====

Entry 2:
This record from the Alexandria database describes a relaxed ZrZnTe2 crystal. The functional is GGA-PBEsol.

Its energy relative to the elements, uncorrected is -0.660 eV per atom. The total moment comes out at 0.0000 μB per atom.

It has space group Amm2 (No. 38), with a = 4.0827 Å, b = 3.9514 Å, c = 11.1705 Å, α = 90.00°, β = 90.00° and γ = 90.00°. The distinct sites, in fractional coordinates, are Zr at (0.0000, 0.0000, 0.0000), Zn at (0.5000, 0.0000, 0.1732), Te at (0.0000, 0.0000, 0.6982) and Te at (0.5000, 0.0000, 0.4136).

=====

Entry 3:
This record from the Alexandria database describes a relaxed HgTe2 crystal. The functional is GGA-PBEsol.

The calculation puts the energy above the most stable polymorph in this dataset at 0.000 eV per atom. Its energy relative to the elements, uncorrected is 0.081 eV per atom. The total moment comes out at 0.0000 μB per atom.

It has space group Cmcm (No. 63), with a = 4.3115 Å, b = 20.3451 Å, c = 3.9670 Å, α = 90.00°, β = 90.00° and γ = 90.00°. The distinct sites, in fractional coordinates, are Hg at (0.0000, 0.1049, 0.2500), Te at (0.0000, 0.2294, 0.7500) and Te at (0.0000, 0.4428, 0.2500).

=====

Entry 4:
This record from the Alexandria database describes a relaxed Li3YHg crystal. The functional is GGA-PBEsol.

The total moment comes out at 0.0015 μB per atom. The formation energy from the elements is 87 meV per atom.

It has space group Pm-3m (No. 221), with a = 4.8381 Å, b = 4.8381 Å, c = 4.8381 Å, α = 90.00°, β = 90.00° and γ = 90.00°. The distinct sites, in fractional coordinates, are Li at (0.0000, 0.0000, 0.5000), Y at (0.5000, 0.5000, 0.5000) and Hg at (0.0000, 0.0000, 0.0000).

=====

Entry 5:
This record from the Alexandria database describes a relaxed BeAl2Tl crystal. The functional is GGA-PBEsol.

The calculation puts the energy above the most stable polymorph in this dataset at 0.000 eV per atom. The total moment comes out at 0.0000 μB per atom. The formation energy from the elements is 310 meV per atom.

It has space group P4/mmm (No. 123), with a = 2.9562 Å, b = 2.9562 Å, c = 8.0773 Å, α = 90.00°, β = 90.00° and γ = 90.00°. The distinct sites, in fractional coordinates, are Be at (0.0000, 0.0000, 0.0000), Al at (0.5000, 0.5000, 0.1832) and Tl at (0.0000, 0.0000, 0.5000).

=====

Entry 6:
This record from the Alexandria database describes a relaxed RbNa3Mo2H18O17 crystal. The functional is GGA-PBEsol.

The total moment comes out at 0.0053 μB per atom.

It has space group P6_3/m (No. 176), with a = 9.5049 Å, b = 9.5049 Å, c = 12.0397 Å, α = 90.00°, β = 90.00° and γ = 120.00°. The distinct sites, in fractional coordinates, are Rb at (0.0000, 0.0000, 0.2500), Na at (0.1637, 0.4539, 0.2500), Mo at (0.3333, 0.6667, 0.5245), H at (0.0535, 0.4224, 0.6843), H at (0.0803, 0.3274, 0.0397), H at (0.0897, 0.7624, 0.5983), O at (0.0193, 0.6052, 0.2500), O at (0.0265, 0.2688, 0.1091), O at (0.1858, 0.4702, 0.5719) and O at (0.3333, 0.6667, 0.1201).

=====

no.,DFT total energy (eV/atom)
1,-7.89
2,-5.09
3,-2.46
4,-2.57
5,-3.39
6,-5.73